1.
## CaPr5Al3 (GGA-PBE)

Data for crystalline CaPr5Al3 at its relaxed geometry.

```
CaPr5Al3
1.0
6.892 0.000 0.000
0.000 9.429 0.000
0.000 -4.715 8.166
Pr Ca Al
10 2 6
Direct
0.000 0.333 0.667 Pr
0.250 0.333 0.333 Pr
0.750 0.000 0.333 Pr
0.000 0.667 0.333 Pr
0.250 0.667 0.000 Pr
0.750 0.333 0.000 Pr
0.750 0.667 0.667 Pr
0.500 0.667 0.333 Pr
0.500 0.333 0.667 Pr
0.250 0.000 0.667 Pr
0.000 0.000 0.000 Ca
0.500 0.000 0.000 Ca
0.750 0.333 0.333 Al
0.250 0.000 0.333 Al
0.250 0.667 0.667 Al
0.250 0.333 0.000 Al
0.750 0.667 0.000 Al
0.750 0.000 0.667 Al
```

## Properties
* formation energy from the elements: -0.235 eV per atom

=====

2.
## CrTc4Se (GGA-PBE)

Data for crystalline CrTc4Se at its relaxed geometry.

```
CrTc4Se
1.0
0.000 3.647 3.647
3.647 0.000 3.647
3.647 3.647 0.000
Se Cr Tc
1 1 4
Direct
0.000 0.000 0.000 Se
0.750 0.750 0.750 Cr
0.375 0.375 0.875 Tc
0.875 0.375 0.375 Tc
0.375 0.375 0.375 Tc
0.375 0.875 0.375 Tc
```

## Properties
* uncorrected formation energy: 0.651 eV per atom

=====

3.
## SmZrAlCu (GGA-PBE)

Data for crystalline SmZrAlCu at its relaxed geometry.

```
SmZrAlCu
1.0
-2.545 -0.831 4.138
-0.599 -4.609 1.641
2.339 -1.489 4.075
Zr Cu Sm Al
1 1 1 1
Direct
0.500 0.500 0.500 Zr
0.250 0.250 0.250 Cu
0.000 0.000 0.000 Sm
0.750 0.750 0.750 Al
```

## Properties
* formation energy from the elements: -0.151 eV per atom

=====

4.
## TlGaPS2 (GGA-PBE)

Data for crystalline TlGaPS2 at its relaxed geometry.

```
TlGaPS2
1.0
-3.404 -3.150 -1.471
3.448 -3.320 -0.870
-0.437 -1.640 4.525
S P Tl Ga
2 1 1 1
Direct
0.000 0.500 0.000 S
0.500 0.000 0.000 S
0.000 0.000 0.500 P
0.500 0.500 0.500 Tl
0.000 0.000 0.000 Ga
```

## Properties
* uncorrected formation energy: 0.312 eV per atom

=====

5.
## Be2CrAgTe (GGA-PBE)

Data for crystalline Be2CrAgTe at its relaxed geometry.

```
Be2CrAgTe
1.0
4.597 0.000 0.000
0.000 4.757 0.000
0.000 0.000 4.597
Cr Ag Be Te
1 1 2 1
Direct
0.000 0.500 0.000 Cr
0.500 0.500 0.500 Ag
0.500 0.000 0.000 Be
0.000 0.000 0.500 Be
0.000 0.000 0.000 Te
```

## Properties
* uncorrected formation energy: 1.523 eV per atom

=====

6.
## LaYCl3 (GGA-PBE)

Data for crystalline LaYCl3 at its relaxed geometry.

```
LaYCl3
1.0
3.752 0.000 0.000
0.000 5.746 4.912
0.000 3.767 16.539
Cl La Y
6 2 2
Direct
0.599 0.843 0.314 Cl
0.099 0.278 0.415 Cl
0.099 0.368 0.638 Cl
0.599 0.601 0.735 Cl
0.099 0.126 0.059 Cl
0.599 0.691 0.958 Cl
0.099 0.114 0.889 La
0.599 0.855 0.484 La
0.599 0.670 0.202 Y
0.099 0.300 0.171 Y
```

## Properties
* uncorrected formation energy: -1.819 eV per atom

=====

7.
## HgPb2Cl (GGA-PBE)

Data for crystalline HgPb2Cl at its relaxed geometry.

```
HgPb2Cl
1.0
5.691 -0.002 0.000
1.302 5.540 0.000
-3.496 -2.769 3.534
Pb Hg Cl
2 1 1
Direct
0.000 0.000 0.000 Pb
0.500 0.500 0.000 Pb
0.750 0.250 0.500 Hg
0.250 0.750 0.500 Cl
```

## Properties
* uncorrected formation energy: -0.182 eV per atom

=====

8.
## Rb2CaBr2 (GGA-PBE)

Data for crystalline Rb2CaBr2 at its relaxed geometry.

```
Rb2CaBr2
1.0
9.204 0.000 0.000
0.000 9.204 0.000
0.000 0.000 4.785
Rb Br Ca
4 4 2
Direct
0.352 0.148 0.500 Rb
0.148 0.648 0.500 Rb
0.852 0.352 0.500 Rb
0.648 0.852 0.500 Rb
0.840 0.660 0.000 Br
0.340 0.840 0.000 Br
0.160 0.340 0.000 Br
0.660 0.160 0.000 Br
0.500 0.500 0.000 Ca
0.000 0.000 0.000 Ca
```

## Properties
* uncorrected formation energy: -1.126 eV per atom

=====

9.
## LaPt3S (GGA-PBE)

Data for crystalline LaPt3S at its relaxed geometry.

```
LaPt3S
1.0
-1.792 -3.246 2.838
3.127 1.138 3.276
-2.969 3.157 1.737
Pt La S
3 1 1
Direct
0.000 0.500 0.000 Pt
0.500 0.000 0.000 Pt
0.000 0.000 0.500 Pt
0.500 0.500 0.500 La
0.000 0.000 0.000 S
```

## Properties
* uncorrected formation energy: -0.520 eV per atom

=====

10.
## SrNd2Al (GGA-PBE)

Data for crystalline SrNd2Al at its relaxed geometry.

```
SrNd2Al
1.0
4.948 0.000 0.000
0.000 5.069 0.000
0.000 0.000 5.069
Al Nd Sr
1 2 1
Direct
0.500 0.000 0.000 Al
0.000 0.500 0.000 Nd
0.000 0.000 0.500 Nd
0.500 0.500 0.500 Sr
```

## Properties
* formation energy from the elements: -0.007 eV per atom

=====

11.
## PC (GGA-PBE)

Data for crystalline PC at its relaxed geometry.

```
PC
1.0
-9.941 -1.441 0.214
-9.407 -2.540 2.450
-9.775 -0.022 2.324
P C
2 2
Direct
0.866 0.866 0.866 P
0.134 0.134 0.134 P
0.333 0.333 0.333 C
0.667 0.667 0.667 C
```

## Properties
* formation energy from the elements: 0.463 eV per atom

=====

12.
## Na3Pu3TlSe8 (GGA-PBE)

Data for crystalline Na3Pu3TlSe8 at its relaxed geometry.

```
Na3Pu3TlSe8
1.0
8.377 0.000 0.000
-4.189 7.255 -0.025
0.000 -4.810 6.913
Na Pu Se Tl
3 3 8 1
Direct
0.000 0.500 0.000 Na
0.000 0.000 0.000 Na
0.500 0.500 0.000 Na
0.500 0.000 0.500 Pu
0.000 0.500 0.500 Pu
0.500 0.500 0.500 Pu
0.257 0.513 0.269 Se
0.743 0.487 0.731 Se
0.250 0.501 0.730 Se
0.271 0.021 0.270 Se
0.250 0.979 0.730 Se
0.750 0.021 0.270 Se
0.750 0.499 0.270 Se
0.729 0.979 0.730 Se
0.000 0.000 0.500 Tl
```

## Properties
* uncorrected formation energy: -1.139 eV per atom

=====

13.
## TaTl2Pb (GGA-PBE)

Data for crystalline TaTl2Pb at its relaxed geometry.

```
TaTl2Pb
1.0
-0.323 1.640 -2.784
3.077 -3.758 -2.571
-4.578 -2.931 -1.195
Tl Ta Pb
2 1 1
Direct
0.000 0.000 0.000 Tl
0.500 0.500 0.000 Tl
0.000 0.500 0.500 Ta
0.500 0.000 0.500 Pb
```

## Properties
* formation energy from the elements: 0.633 eV per atom

=====

14.
## Ce4RuPb5 (GGA-PBE)

Data for crystalline Ce4RuPb5 at its relaxed geometry.

```
Ce4RuPb5
1.0
5.035 0.000 0.000
0.000 7.130 -0.659
-2.517 -1.460 8.649
Ce Pb Ru
4 5 1
Direct
0.357 0.036 0.714 Ce
0.643 0.964 0.286 Ce
0.977 0.763 0.955 Ce
0.023 0.237 0.045 Ce
0.833 0.333 0.667 Pb
0.500 0.500 0.000 Pb
0.790 0.740 0.581 Pb
0.167 0.667 0.333 Pb
0.210 0.260 0.419 Pb
0.500 0.000 0.000 Ru
```

## Properties
* formation energy from the elements: -0.202 eV per atom

=====

15.
## LaPm3TmSc (GGA-PBE)

Data for crystalline LaPm3TmSc at its relaxed geometry.

```
LaPm3TmSc
1.0
5.104 0.000 0.000
0.000 7.852 -1.093
0.000 -3.266 10.165
Tm Pm La Sc
2 6 2 2
Direct
0.750 0.376 0.874 Tm
0.250 0.624 0.126 Tm
0.250 0.618 0.791 Pm
0.250 0.129 0.957 Pm
0.750 0.871 0.043 Pm
0.750 0.366 0.544 Pm
0.250 0.634 0.456 Pm
0.750 0.382 0.209 Pm
0.750 0.881 0.703 La
0.250 0.119 0.297 La
0.750 0.875 0.375 Sc
0.250 0.125 0.625 Sc
```

## Properties
* formation energy from the elements: 0.050 eV per atom

=====

16.
## GaAgAu3 (GGA-PBE)

Data for crystalline GaAgAu3 at its relaxed geometry.

```
GaAgAu3
1.0
-1.199 -2.155 1.623
5.654 -4.310 -1.545
2.119 4.244 7.199
Au Ga Ag
6 2 2
Direct
0.250 0.140 0.661 Au
0.250 0.700 0.565 Au
0.750 0.860 0.339 Au
0.750 0.317 0.979 Au
0.750 0.300 0.435 Au
0.250 0.683 0.021 Au
0.250 0.494 0.254 Ga
0.750 0.506 0.746 Ga
0.750 0.917 0.846 Ag
0.250 0.083 0.154 Ag
```

## Properties
* formation energy from the elements: -0.073 eV per atom

=====

17.
## Cs2Tl3CdHg4 (GGA-PBE)

Data for crystalline Cs2Tl3CdHg4 at its relaxed geometry.

```
Cs2Tl3CdHg4
1.0
-4.918 1.047 -2.716
2.658 -0.554 -5.028
-2.334 -11.017 -0.021
Hg Tl Cs Cd
4 3 2 1
Direct
0.500 0.500 0.000 Hg
0.000 0.000 0.000 Hg
0.000 0.500 0.388 Hg
0.500 0.000 0.612 Hg
0.000 0.000 0.500 Tl
0.000 0.500 0.113 Tl
0.500 0.000 0.887 Tl
0.500 0.000 0.250 Cs
0.000 0.500 0.750 Cs
0.500 0.500 0.500 Cd
```

## Properties
* formation energy from the elements: -0.128 eV per atom

=====

18.
## K4NaU3O12 (GGA-PBE)

Data for crystalline K4NaU3O12 at its relaxed geometry.

```
K4NaU3O12
1.0
-6.069 -2.708 -3.589
0.473 -3.127 6.859
-0.619 7.496 0.688
U K O Na
3 4 12 1
Direct
0.500 0.500 0.000 U
0.500 0.000 0.500 U
0.000 0.500 0.500 U
0.500 0.500 0.500 K
0.000 0.500 0.000 K
0.000 0.000 0.500 K
0.500 0.000 0.000 K
0.280 0.280 0.000 O
0.720 0.720 0.000 O
0.500 0.250 0.750 O
0.280 0.000 0.280 O
0.500 0.750 0.250 O
0.720 0.000 0.720 O
0.750 0.250 0.500 O
0.250 0.500 0.750 O
0.250 0.750 0.500 O
0.000 0.280 0.280 O
0.750 0.500 0.250 O
0.000 0.720 0.720 O
0.000 0.000 0.000 Na
```

## Properties
* uncorrected formation energy: -2.638 eV per atom

=====

19.
## Cs2Tl6CdHg (GGA-PBE)

Data for crystalline Cs2Tl6CdHg at its relaxed geometry.

```
Cs2Tl6CdHg
1.0
8.431 0.000 0.000
0.001 8.431 0.000
4.216 4.215 5.962
Cs Cd Hg Tl
2 1 1 6
Direct
0.750 0.250 0.500 Cs
0.250 0.750 0.500 Cs
0.500 0.500 0.000 Cd
0.000 0.000 0.000 Hg
0.250 0.750 0.000 Tl
0.750 0.750 0.501 Tl
0.750 0.750 0.000 Tl
0.250 0.250 0.000 Tl
0.250 0.250 0.499 Tl
0.750 0.250 0.000 Tl
```

## Properties
* formation energy from the elements: 0.116 eV per atom

=====

20.
## BaSrCo2 (GGA-PBE)

Data for crystalline BaSrCo2 at its relaxed geometry.

```
BaSrCo2
1.0
-1.486 -5.557 -1.385
2.141 -5.501 0.401
-2.238 -5.671 4.722
Co Ba Sr
2 1 1
Direct
0.999 0.999 0.808 Co
0.501 0.501 0.692 Co
0.250 0.250 0.250 Ba
0.750 0.750 0.750 Sr
```

## Properties
* formation energy from the elements: 0.350 eV per atom

=====

no.,final energy (Ry/atom)
1,-0.3205
2,-0.6206
3,-0.3989
4,-0.2572
5,-0.2271
6,-0.3826
7,-0.1891
8,-0.1898
9,-0.4377
10,-0.2754
11,-0.5038
12,-0.4619
13,-0.3263
14,-0.3937
15,-0.3636
16,-0.2363
17,-0.0897
18,-0.5580
19,-0.1173
20,-0.3016